Computed, not measured: a relaxed structure of YMnNF2 at the PBE+U level of DFT.

Cell: 3.947 3.947 4.437 Å, 90.00 90.00 90.00°
Space group P4/mmm (No. 123)
Symmetry-distinct sites (fractional):
Y (0.000, 0.000, 0.000)
Mn (0.500, 0.500, 0.500)
N (0.500, 0.500, 0.000)
F (0.000, 0.500, 0.500)

Offset from the most stable computed form, eV per atom: 0.000
Total DFT energy (no corrections), eV per atom: -6.8731
Fermi-level density of states, states/eV/cell: 0.800
Crystal system: tetragonal